Ti3BiH | PBE | optimized geometry

Values from the calculation:
Mass density (g/cm³): 7.0
Distance to the lowest polymorph of the same formula (meV/atom): 284.3
E_tot (Ry per atom): -0.452

Structure (CIF):
```
data_Ti3BiH
_chemical_formula_sum 'Ti12 Bi4 H4'
_symmetry_space_group_name_H-M 'C m c m'
_symmetry_Int_Tables_number 63
_symmetry_space_group_name_Hall '-C 2c 2'
_cell_length_a 5.635
_cell_length_b 9.835
_cell_length_c 6.050
_cell_angle_alpha 90.00
_cell_angle_beta 90.00
_cell_angle_gamma 90.00
loop_
_atom_site_label
_atom_site_type_symbol
_atom_site_fract_x
_atom_site_fract_y
_atom_site_fract_z
Ti1 Ti 0.000 0.000 0.000
Ti2 Ti 0.244 0.269 0.250
Bi1 Bi 0.000 0.471 0.750
H1 H 0.000 0.111 0.750
```